## 1
DFT (PBE) results for crystalline TmAlTe3 at its relaxed geometry.

Its calculated density is 5.43 g/cm³.

The space group is Pnma (No. 62) and the conventional cell measures 8.255, 11.688 and 7.332 Å, with angles of 90.00, 90.00 and 90.00 degrees. The inequivalent atoms are Tm at (0.000, 0.000, 0.000), Al at (0.177, 0.250, 0.461), Te at (0.004, 0.250, 0.146) and Te at (0.179, 0.064, 0.654).

=====

## 2
DFT (PBE) results for crystalline TmAlTe3 at its relaxed geometry.

Its calculated density is 4.96 g/cm³.

The space group is Ama2 (No. 40) and the conventional cell measures 4.268, 25.480 and 7.119 Å, with angles of 90.00, 90.00 and 90.00 degrees. The inequivalent atoms are Tm at (0.250, 0.174, 0.000), Al at (0.250, 0.369, 0.917), Te at (0.250, 0.081, 0.273), Te at (0.250, 0.275, 0.754) and Te at (0.250, 0.381, 0.281).

=====

Bottom line: 2, by a margin of 11.8 kJ/mol of atoms.

=====

## 1
DFT (PBE) results for crystalline Tm7Al2Te2 at its relaxed geometry.

Its calculated density is 8.31 g/cm³.

The space group is Imm2 (No. 44) and the conventional cell measures 3.803, 15.945 and 9.834 Å, with angles of 90.00, 90.00 and 90.00 degrees. The inequivalent atoms are Tm at (0.000, 0.000, 0.000), Tm at (0.000, 0.109, 0.431), Tm at (0.000, 0.325, 0.659), Tm at (0.000, 0.355, 0.246), Al at (0.000, 0.000, 0.689), Al at (0.000, 0.500, 0.750) and Te at (0.000, 0.240, 0.945).

=====

## 2
DFT (PBE) results for crystalline Tm7Al2Te2 at its relaxed geometry.

Its calculated density is 8.26 g/cm³.

The space group is Imm2 (No. 44) and the conventional cell measures 4.388, 14.627 and 9.340 Å, with angles of 90.00, 90.00 and 90.00 degrees. The inequivalent atoms are Tm at (0.000, 0.000, 0.000), Tm at (0.000, 0.132, 0.604), Tm at (0.000, 0.317, 0.387), Tm at (0.000, 0.357, 0.761), Al at (0.000, 0.228, 0.080), Te at (0.000, 0.000, 0.347) and Te at (0.000, 0.500, 0.234).

=====

Bottom line: 2, by a margin of 9.7 kJ/mol of atoms.

=====

## 1
DFT (PBE) results for crystalline AlV2Te at its relaxed geometry.

Its calculated density is 5.96 g/cm³.

The space group is I-42d (No. 122) and the conventional cell measures 3.907, 3.907 and 18.720 Å, with angles of 90.00, 90.00 and 90.00 degrees. The inequivalent atoms are Al at (0.000, 0.000, 0.000), V at (0.222, 0.250, 0.125) and Te at (0.000, 0.000, 0.500).

=====

## 2
DFT (PBE) results for crystalline AlV2Te at its relaxed geometry.

Its calculated density is 6.40 g/cm³.

The space group is Fm-3m (No. 225) and the conventional cell measures 6.433, 6.433 and 6.433 Å, with angles of 90.00, 90.00 and 90.00 degrees. The inequivalent atoms are Al at (0.000, 0.000, 0.000), V at (0.250, 0.250, 0.250) and Te at (0.000, 0.000, 0.500).

=====

Bottom line: 2, by a margin of 11.1 kJ/mol of atoms.

=====

## 1
DFT (PBE) results for crystalline AlTe3W at its relaxed geometry.

Its calculated density is 6.40 g/cm³.

The space group is Pm-3m (No. 221) and the conventional cell measures 5.360, 5.360 and 5.360 Å, with angles of 90.00, 90.00 and 90.00 degrees. The inequivalent atoms are Al at (0.000, 0.000, 0.000), Te at (0.000, 0.500, 0.500) and W at (0.500, 0.500, 0.500).

=====

## 2
DFT (PBE) results for crystalline AlTe3W at its relaxed geometry.

Its calculated density is 6.98 g/cm³.

The space group is Pm-3m (No. 221) and the conventional cell measures 5.208, 5.208 and 5.208 Å, with angles of 90.00, 90.00 and 90.00 degrees. The inequivalent atoms are Al at (0.000, 0.000, 0.000), Te at (0.000, 0.000, 0.500) and W at (0.500, 0.500, 0.500).

=====

Bottom line: 1, by a margin of 55.7 kJ/mol of atoms.

=====

## 1
DFT (PBE) results for crystalline Al2TeW2 at its relaxed geometry.

Its calculated density is 9.96 g/cm³.

The space group is P4/mbm (No. 127) and the conventional cell measures 8.045, 8.045 and 2.830 Å, with angles of 90.00, 90.00 and 90.00 degrees. The inequivalent atoms are Al at (0.178, 0.322, 0.000), Te at (0.000, 0.000, 0.500) and W at (0.113, 0.613, 0.500).

=====

## 2
DFT (PBE) results for crystalline Al2TeW2 at its relaxed geometry.

Its calculated density is 10.29 g/cm³.

The space group is I4/mmm (No. 139) and the conventional cell measures 3.550, 3.550 and 14.063 Å, with angles of 90.00, 90.00 and 90.00 degrees. The inequivalent atoms are Al at (0.000, 0.500, 0.250), Te at (0.000, 0.000, 0.000) and W at (0.000, 0.000, 0.396).

=====

Bottom line: 1, by a margin of 14.5 kJ/mol of atoms.

=====

## 1
DFT (PBE) results for crystalline AlTeW3 at its relaxed geometry.

Its calculated density is 10.22 g/cm³.

The space group is Pm-3m (No. 221) and the conventional cell measures 4.859, 4.859 and 4.859 Å, with angles of 90.00, 90.00 and 90.00 degrees. The inequivalent atoms are Al at (0.000, 0.000, 0.000), Te at (0.500, 0.500, 0.500) and W at (0.000, 0.500, 0.500).

=====

## 2
DFT (PBE) results for crystalline AlTeW3 at its relaxed geometry.

Its calculated density is 11.78 g/cm³.

The space group is Pm-3m (No. 221) and the conventional cell measures 4.634, 4.634 and 4.634 Å, with angles of 90.00, 90.00 and 90.00 degrees. The inequivalent atoms are Al at (0.000, 0.000, 0.000), Te at (0.500, 0.500, 0.500) and W at (0.000, 0.000, 0.500).

=====

Bottom line: 2, by a margin of 47.6 kJ/mol of atoms.

=====

## 1
DFT (PBE) results for crystalline Y2AlTe at its relaxed geometry.

Its calculated density is 5.37 g/cm³.

The space group is C2/m (No. 12) and the conventional cell measures 6.662, 8.269 and 3.731 Å, with angles of 90.00, 90.44 and 90.00 degrees. The inequivalent atoms are Y at (0.250, 0.250, 0.000), Al at (0.000, 0.000, 0.500) and Te at (0.000, 0.500, 0.500).

=====

## 2
DFT (PBE) results for crystalline Y2AlTe at its relaxed geometry.

Its calculated density is 4.73 g/cm³.

The space group is R3m (No. 160, hexagonal axes) and the conventional cell measures 3.8043, 3.8043 and 27.9367 Å, with angles of 90.00, 90.00 and 120.00 degrees. The inequivalent atoms are Y at (0.0000, 0.0000, 0.0000), Y at (0.0000, 0.0000, 0.2337), Al at (0.0000, 0.0000, 0.4803) and Te at (0.0000, 0.0000, 0.7485).

=====

Bottom line: 1, by a margin of 38.7 kJ/mol of atoms.

=====

## 1
DFT (PBE) results for crystalline Y2AlTe at its relaxed geometry.

Its calculated density is 4.89 g/cm³.

The space group is C2/m (No. 12) and the conventional cell measures 7.078, 4.093 and 8.140 Å, with angles of 90.00, 106.92 and 90.00 degrees. The inequivalent atoms are Y at (0.248, 0.000, 0.243), Al at (0.000, 0.500, 0.000) and Te at (0.000, 0.000, 0.500).

=====

## 2
DFT (PBE) results for crystalline Y2AlTe at its relaxed geometry.

Its calculated density is 5.34 g/cm³.

The space group is F-43m (No. 216) and the conventional cell measures 7.451, 7.451 and 7.451 Å, with angles of 90.00, 90.00 and 90.00 degrees. The inequivalent atoms are Y at (0.000, 0.000, 0.000), Y at (0.250, 0.250, 0.250), Al at (0.000, 0.000, 0.500) and Te at (0.250, 0.250, 0.750).

=====

## 3
DFT (PBE) results for crystalline Y2AlTe at its relaxed geometry.

Its calculated density is 4.84 g/cm³.

The space group is P4/mmm (No. 123) and the conventional cell measures 4.320, 4.320 and 6.111 Å, with angles of 90.00, 90.00 and 90.00 degrees. The inequivalent atoms are Y at (0.000, 0.000, 0.000), Y at (0.500, 0.500, 0.500), Al at (0.000, 0.000, 0.500) and Te at (0.500, 0.500, 0.000).

=====

## 4
DFT (PBE) results for crystalline Y2AlTe at its relaxed geometry.

Its calculated density is 5.25 g/cm³.

The space group is Fm-3m (No. 225) and the conventional cell measures 7.491, 7.491 and 7.491 Å, with angles of 90.00, 90.00 and 90.00 degrees. The inequivalent atoms are Y at (0.250, 0.250, 0.250), Al at (0.000, 0.000, 0.000) and Te at (0.000, 0.000, 0.500).

=====

Bottom line: 1, by a margin of 5.9 kJ/mol of atoms.